Entry 1:
Below is an optimized crystal structure of CsTaNbSe2, with properties calculated at the PBE-GGA level.

```
data_CsTaNbSe2
_space_group_name_H-M_alt 'P 1'
_space_group_IT_number 1
_cell_length_a 5.212
_cell_length_b 5.220
_cell_length_c 5.212
_cell_angle_alpha 90.00
_cell_angle_beta 90.00
_cell_angle_gamma 90.00
loop_
_space_group_symop_operation_xyz
'x,y,z'
loop_
_atom_site_label
_atom_site_type_symbol
_atom_site_fract_x
_atom_site_fract_y
_atom_site_fract_z
Cs1 Cs 0.500 0.500 0.500
Nb1 Nb 0.000 0.500 0.000
Se1 Se 0.000 0.000 0.500
Se2 Se 0.500 0.000 0.000
Ta1 Ta 0.000 0.000 0.000
```

**Formation energy from raw total energies**: 0.2824 eV/atom
**Space group**: P4/mmm (123)
**Magnetic moment**: 2.55 μB per cell
**Calculated total energy**: -5.67 eV per atom

Entry 2:
Below is an optimized crystal structure of Cs2NbTlSe4, with properties calculated at the PBE-GGA level.

```
data_Cs2NbTlSe4
_space_group_name_H-M_alt 'P 1'
_space_group_IT_number 1
_cell_length_a 7.574
_cell_length_b 8.016
_cell_length_c 13.482
_cell_angle_alpha 82.37
_cell_angle_beta 73.69
_cell_angle_gamma 61.81
loop_
_space_group_symop_operation_xyz
'x,y,z'
loop_
_atom_site_label
_atom_site_type_symbol
_atom_site_fract_x
_atom_site_fract_y
_atom_site_fract_z
Cs1 Cs 0.182 0.000 0.636
Cs2 Cs 0.818 0.000 0.364
Cs3 Cs 0.568 0.500 0.864
Cs4 Cs 0.932 0.500 0.136
Nb1 Nb 0.250 0.500 0.500
Nb2 Nb 0.500 0.000 0.000
Tl1 Tl 0.750 0.500 0.500
Tl2 Tl 0.000 0.000 0.000
Se1 Se 0.354 0.804 0.106
Se2 Se 0.264 0.196 0.894
Se3 Se 0.842 0.804 0.894
Se4 Se 0.540 0.196 0.106
Se5 Se 0.396 0.696 0.394
Se6 Se 0.486 0.304 0.606
Se7 Se 0.908 0.696 0.606
Se8 Se 0.210 0.304 0.394
```

**Formation energy from raw total energies**: -0.9193 eV/atom
**Space group**: Fddd (70)
**Magnetic moment**: 0.00 μB per cell
**Calculated total energy**: -4.43 eV per atom

Entry 3:
Below is an optimized crystal structure of CsNbSi3, with properties calculated at the PBE-GGA level.

```
data_CsNbSi3
_space_group_name_H-M_alt 'P 1'
_space_group_IT_number 1
_cell_length_a 5.154
_cell_length_b 5.154
_cell_length_c 5.154
_cell_angle_alpha 90.00
_cell_angle_beta 90.00
_cell_angle_gamma 90.00
loop_
_space_group_symop_operation_xyz
'x,y,z'
loop_
_atom_site_label
_atom_site_type_symbol
_atom_site_fract_x
_atom_site_fract_y
_atom_site_fract_z
Cs1 Cs 0.000 0.000 0.000
Nb1 Nb 0.500 0.500 0.500
Si1 Si 0.000 0.500 0.000
Si2 Si 0.000 0.000 0.500
Si3 Si 0.500 0.000 0.000
```

**Formation energy from raw total energies**: 2.7465 eV/atom
**Offset from the most stable computed form**: 2461 meV/atom
**Space group**: Pm-3m (221)
**Magnetic moment**: 0.00 μB per cell
**Calculated total energy**: -2.69 eV per atom

Entry 4:
Below is an optimized crystal structure of CsNbSi3, with properties calculated at the PBE-GGA level.

```
data_CsNbSi3
_space_group_name_H-M_alt 'P 1'
_space_group_IT_number 1
_cell_length_a 5.048
_cell_length_b 5.048
_cell_length_c 5.048
_cell_angle_alpha 90.00
_cell_angle_beta 90.00
_cell_angle_gamma 90.00
loop_
_space_group_symop_operation_xyz
'x,y,z'
loop_
_atom_site_label
_atom_site_type_symbol
_atom_site_fract_x
_atom_site_fract_y
_atom_site_fract_z
Cs1 Cs 0.500 0.500 0.500
Nb1 Nb 0.000 0.000 0.000
Si1 Si 0.000 0.500 0.000
Si2 Si 0.000 0.000 0.500
Si3 Si 0.500 0.000 0.000
```

**Formation energy from raw total energies**: 0.2856 eV/atom
**Offset from the most stable computed form**: 0 meV/atom
**Space group**: Pm-3m (221)
**Magnetic moment**: 0.00 μB per cell
**Calculated total energy**: -5.15 eV per atom

Entry 5:
Below is an optimized crystal structure of CsNbZn2Si, with properties calculated at the PBE-GGA level.

```
data_CsNbZn2Si
_space_group_name_H-M_alt 'P 1'
_space_group_IT_number 1
_cell_length_a 4.818
_cell_length_b 6.596
_cell_length_c 4.818
_cell_angle_alpha 90.00
_cell_angle_beta 90.00
_cell_angle_gamma 90.00
loop_
_space_group_symop_operation_xyz
'x,y,z'
loop_
_atom_site_label
_atom_site_type_symbol
_atom_site_fract_x
_atom_site_fract_y
_atom_site_fract_z
Cs1 Cs 0.000 0.500 0.000
Nb1 Nb 0.500 0.500 0.500
Si1 Si 0.000 0.000 0.000
Zn1 Zn 0.000 0.000 0.500
Zn2 Zn 0.500 0.000 0.000
```

**Formation energy from raw total energies**: 1.3582 eV/atom
**Space group**: P4/mmm (123)
**Magnetic moment**: 4.86 μB per cell
**Calculated total energy**: -2.42 eV per atom

Entry 6:
Below is an optimized crystal structure of CsNbSn3, with properties calculated at the PBE-GGA level.

```
data_CsNbSn3
_space_group_name_H-M_alt 'P 1'
_space_group_IT_number 1
_cell_length_a 5.499
_cell_length_b 5.499
_cell_length_c 5.499
_cell_angle_alpha 90.00
_cell_angle_beta 90.00
_cell_angle_gamma 90.00
loop_
_space_group_symop_operation_xyz
'x,y,z'
loop_
_atom_site_label
_atom_site_type_symbol
_atom_site_fract_x
_atom_site_fract_y
_atom_site_fract_z
Cs1 Cs 0.500 0.500 0.500
Nb1 Nb 0.000 0.000 0.000
Sn1 Sn 0.000 0.500 0.000
Sn2 Sn 0.000 0.000 0.500
Sn3 Sn 0.500 0.000 0.000
```

**Energy relative to the elements**: -0.029 eV/atom
**Offset from the most stable computed form**: 0 meV/atom
**Space group**: Pm-3m (221)
**Magnetic moment**: 0.00 μB per cell
**Calculated total energy**: -4.62 eV per atom

Entry 7:
Below is an optimized crystal structure of CsNbSn3, with properties calculated at the PBE-GGA level.

```
data_CsNbSn3
_space_group_name_H-M_alt 'P 1'
_space_group_IT_number 1
_cell_length_a 5.856
_cell_length_b 5.856
_cell_length_c 5.856
_cell_angle_alpha 90.00
_cell_angle_beta 90.00
_cell_angle_gamma 90.00
loop_
_space_group_symop_operation_xyz
'x,y,z'
loop_
_atom_site_label
_atom_site_type_symbol
_atom_site_fract_x
_atom_site_fract_y
_atom_site_fract_z
Cs1 Cs 0.000 0.000 0.000
Nb1 Nb 0.500 0.500 0.500
Sn1 Sn 0.000 0.500 0.000
Sn2 Sn 0.000 0.000 0.500
Sn3 Sn 0.500 0.000 0.000
```

**Energy relative to the elements**: 2.266 eV/atom
**Offset from the most stable computed form**: 2295 meV/atom
**Space group**: Pm-3m (221)
**Magnetic moment**: 0.12 μB per cell
**Calculated total energy**: -2.32 eV per atom

Entry 8:
Below is an optimized crystal structure of CsTiNbSn2, with properties calculated at the PBE-GGA level.

```
data_CsTiNbSn2
_space_group_name_H-M_alt 'P 1'
_space_group_IT_number 1
_cell_length_a 5.579
_cell_length_b 4.909
_cell_length_c 5.579
_cell_angle_alpha 90.00
_cell_angle_beta 90.00
_cell_angle_gamma 90.00
loop_
_space_group_symop_operation_xyz
'x,y,z'
loop_
_atom_site_label
_atom_site_type_symbol
_atom_site_fract_x
_atom_site_fract_y
_atom_site_fract_z
Cs1 Cs 0.500 0.500 0.500
Nb1 Nb 0.000 0.000 0.000
Sn1 Sn 0.000 0.000 0.500
Sn2 Sn 0.500 0.000 0.000
Ti1 Ti 0.000 0.500 0.000
```

**Energy relative to the elements**: 0.368 eV/atom
**Space group**: P4/mmm (123)
**Magnetic moment**: 0.00 μB per cell
**Calculated total energy**: -5.00 eV per atom

Entry 9:
Below is an optimized crystal structure of CsSrNb, with properties calculated at the PBE-GGA level.

```
data_CsSrNb
_space_group_name_H-M_alt 'P 1'
_space_group_IT_number 1
_cell_length_a 4.518
_cell_length_b 10.078
_cell_length_c 7.049
_cell_angle_alpha 101.78
_cell_angle_beta 90.27
_cell_angle_gamma 95.89
loop_
_space_group_symop_operation_xyz
'x,y,z'
loop_
_atom_site_label
_atom_site_type_symbol
_atom_site_fract_x
_atom_site_fract_y
_atom_site_fract_z
Cs1 Cs 0.269 0.732 0.744
Cs2 Cs 0.778 0.555 0.191
Sr1 Sr 0.153 0.195 0.886
Sr2 Sr 0.650 0.052 0.340
Nb1 Nb 0.225 0.324 0.472
Nb2 Nb 0.674 0.361 0.619
```

**Energy relative to the elements**: 0.758 eV/atom
**Offset from the most stable computed form**: 295 meV/atom
**Space group**: P1 (1)
**Magnetic moment**: 0.00 μB per cell
**Calculated total energy**: -3.44 eV per atom

Entry 10:
Below is an optimized crystal structure of CsSr3Nb, with properties calculated at the PBE-GGA level.

```
data_CsSr3Nb
_space_group_name_H-M_alt 'P 1'
_space_group_IT_number 1
_cell_length_a 6.252
_cell_length_b 6.252
_cell_length_c 6.252
_cell_angle_alpha 90.00
_cell_angle_beta 90.00
_cell_angle_gamma 90.00
loop_
_space_group_symop_operation_xyz
'x,y,z'
loop_
_atom_site_label
_atom_site_type_symbol
_atom_site_fract_x
_atom_site_fract_y
_atom_site_fract_z
Cs1 Cs 0.500 0.500 0.500
Sr1 Sr 0.000 0.500 0.000
Sr2 Sr 0.000 0.000 0.500
Sr3 Sr 0.500 0.000 0.000
Nb1 Nb 0.000 0.000 0.000
```

**Energy relative to the elements**: 0.752 eV/atom
**Offset from the most stable computed form**: 0 meV/atom
**Space group**: Pm-3m (221)
**Magnetic moment**: 0.00 μB per cell
**Calculated total energy**: -2.44 eV per atom

Entry 11:
Below is an optimized crystal structure of CsSrNb, with properties calculated at the PBE-GGA level.

```
data_CsSrNb
_space_group_name_H-M_alt 'P 1'
_space_group_IT_number 1
_cell_length_a 4.049
_cell_length_b 5.359
_cell_length_c 28.669
_cell_angle_alpha 90.00
_cell_angle_beta 90.00
_cell_angle_gamma 90.00
loop_
_space_group_symop_operation_xyz
'x,y,z'
loop_
_atom_site_label
_atom_site_type_symbol
_atom_site_fract_x
_atom_site_fract_y
_atom_site_fract_z
Cs1 Cs 0.772 0.250 0.423
Cs2 Cs 0.728 0.750 0.923
Cs3 Cs 0.228 0.750 0.577
Cs4 Cs 0.272 0.250 0.077
Sr1 Sr 0.790 0.250 0.806
Sr2 Sr 0.710 0.750 0.306
Sr3 Sr 0.210 0.750 0.194
Sr4 Sr 0.290 0.250 0.694
Nb1 Nb 0.213 0.250 0.277
Nb2 Nb 0.287 0.750 0.777
Nb3 Nb 0.787 0.750 0.723
Nb4 Nb 0.713 0.250 0.223
```

**Energy relative to the elements**: 0.623 eV/atom
**Offset from the most stable computed form**: 160 meV/atom
**Space group**: Pnma (62)
**Magnetic moment**: 0.00 μB per cell
**Calculated total energy**: -3.58 eV per atom

Entry 12:
Below is an optimized crystal structure of CsSrNb, with properties calculated at the PBE-GGA level.

```
data_CsSrNb
_space_group_name_H-M_alt 'P 1'
_space_group_IT_number 1
_cell_length_a 6.296
_cell_length_b 6.296
_cell_length_c 3.528
_cell_angle_alpha 90.00
_cell_angle_beta 90.00
_cell_angle_gamma 120.00
loop_
_space_group_symop_operation_xyz
'x,y,z'
loop_
_atom_site_label
_atom_site_type_symbol
_atom_site_fract_x
_atom_site_fract_y
_atom_site_fract_z
Cs1 Cs 0.667 0.333 0.500
Sr1 Sr 0.000 0.000 0.000
Nb1 Nb 0.333 0.667 0.000
```

**Energy relative to the elements**: 1.386 eV/atom
**Offset from the most stable computed form**: 923 meV/atom
**Space group**: P-6m2 (187)
**Magnetic moment**: 3.48 μB per cell
**Calculated total energy**: -2.82 eV per atom